5
Lattice="4.8288 0.0000 0.0000 0.0000 4.8288 0.0000 0.0000 0.0000 4.8288" Properties=species:S:1:pos:R:3 comment="BeIrPb3 SCAN single point on PBEsol structure" e_form_kj_per_mol_atoms=91.1 space_group="Pm-3m (221)" total_magnetization_mub_per_fu=0.00 volume_a3_per_cell=112.6 pbc="T T T"
Ir 2.4144 2.4144 2.4144
Pb 0.0000 0.0000 2.4144
Pb 2.4144 0.0000 0.0000
Pb 0.0000 2.4144 0.0000
Be 0.0000 0.0000 0.0000

6
Lattice="2.8951 0.0000 0.0000 0.0000 2.8951 0.0000 0.0000 0.0000 8.8197" Properties=species:S:1:pos:R:3 comment="Fe2Rh SCAN single point on PBEsol structure" e_form_kj_per_mol_atoms=-22.0 space_group="P4/mmm (123)" total_magnetization_mub_per_fu=6.94 volume_a3_per_cell=73.9 pbc="T T T"
Fe 0.0000 0.0000 5.7626
Fe 0.0000 0.0000 0.0000
Fe 1.4476 1.4476 4.4099
Fe 0.0000 0.0000 3.0571
Rh 1.4476 1.4476 7.2966
Rh 1.4476 1.4476 1.5231

4
Lattice="-2.1015 2.9163 1.1973 -4.5117 -2.3042 -2.3067 0.2841 -1.9760 5.3117" Properties=species:S:1:pos:R:3 comment="Te2PBr SCAN single point on PBEsol structure" polymorph_energy_ev_per_atom=0.000 space_group="Pm (6)" raw_formation_energy_mev_per_atom=81 total_magnetization_mub_per_fu=0.00 volume_a3_per_cell=114.7 pbc="T T T"
Br 0.1309 -0.9651 2.5804
Te -2.9437 0.0845 0.6217
Te -4.0506 -4.1385 2.9704
P -3.5511 -1.6132 3.6907

5
Lattice="5.2514 0.0000 0.0000 0.0000 5.2514 0.0000 0.0000 0.0000 5.2514" Properties=species:S:1:pos:R:3 comment="Sn3BiW SCAN single point on PBEsol structure" e_form_kj_per_mol_atoms=66.3 polymorph_energy_ev_per_atom=0.000 space_group="Pm-3m (221)" total_magnetization_mub_per_fu=0.00 volume_a3_per_cell=144.8 pbc="T T T"
W 0.0000 0.0000 0.0000
Sn 0.0000 0.0000 2.6257
Sn 2.6257 0.0000 0.0000
Sn 0.0000 2.6257 0.0000
Bi 2.6257 2.6257 2.6257